Na4EuSi2Se6: relaxed, PBE-GGA.

Output
ρ in g/cm³: 3.81
DFT total energy in eV for the cell shown: -61.3
Symmetry: C2
E_form (uncorrected) in eV per atom: -1.080

Unit cell a=7.1299 b=7.1299 c=8.0230 alpha=81.39 beta=81.39 gamma=119.86
With the nearest neighbours (Å) after each atom.
Atoms (fractional coordinates):
Na 0.8295 0.1705 0.0000  6 Se 3.02-3.18
Na 0.1696 0.8304 0.0000  6 Se 3.00-3.19
Na 0.5010 0.4990 0.0000  6 Se 3.01-3.23
Na 0.6662 0.3338 0.5000  6 Se 3.10-3.13
Eu 0.3337 0.6663 0.5000  6 Se 3.09-3.11
Si 0.0498 0.0500 0.3469  3 Se 2.30-2.31, 1 Si 2.34
Si 0.9500 0.9502 0.6531  3 Se 2.30-2.31, 1 Si 2.34
Se 0.7723 0.7744 0.2559  1 Si 2.30
Se 0.2256 0.2277 0.7441  1 Si 2.30
Se 0.0833 0.3905 0.2544  1 Si 2.31
Se 0.3882 0.0788 0.2536  1 Si 2.31
Se 0.9212 0.6118 0.7464  1 Si 2.31
Se 0.6095 0.9167 0.7456  1 Si 2.31

NaSrEuSi: relaxed, PBE-GGA.

Output
ρ in g/cm³: 4.08
DFT total energy in eV for the cell shown: -19.3
Symmetry: F-43m
E_form (uncorrected) in eV per atom: -0.150

Unit cell a=5.5109 b=5.5109 c=5.5109 alpha=60.00 beta=60.00 gamma=60.00
With the nearest neighbours (Å) after each atom.
Atoms (fractional coordinates):
Eu 0.2500 0.2500 0.2500  4 Na 3.37, 4 Si 3.37
Sr 0.7500 0.7500 0.7500  4 Si 3.37, 4 Na 3.37
Si 0.5000 0.5000 0.5000  4 Eu 3.37, 4 Sr 3.37
Na 0.0000 0.0000 0.0000  4 Sr 3.37, 4 Eu 3.37